Compound: Ce2GaHg
Source: Alexandria via LeMat-Bulk
Functional: PBE-GGA
Structure: relaxed

* DFT total energy: -0.293 Ry per atom
* space-group type: R-3m (166)
* volume: 96.2 Å³ per cell
* total moment: 0.0 Bohr magnetons per cell
* D(E_F): 8.8 states/eV/cell

Cell lengths 10.9275, 10.9275, 10.9275 Å; angles 16.90, 16.90, 16.90 degrees
Last column: nearest neighbours and their distance in Å.
Atoms (fractional coordinates):
Ce1 0.2456 0.2456 0.2456  3 Ga 3.15, 6 Ce 3.21, 3 Hg 3.39
Ce2 0.7544 0.7544 0.7544  3 Ga 3.15, 6 Ce 3.21, 3 Hg 3.39
Ga1 0.5000 0.5000 0.5000  6 Ce 3.15, 6 Ga 3.21
Hg1 0.0000 0.0000 0.0000  6 Hg 3.21, 6 Ce 3.39

***

Compound: Nd5Ni2Au5
Source: Alexandria via LeMat-Bulk
Functional: PBE-GGA
Structure: relaxed

* DFT total energy: -0.366 Ry per atom
* space-group type: C2/m (12)
* volume: 287.6 Å³ per cell
* total moment: 0.0 Bohr magnetons per cell
* D(E_F): 7.8 states/eV/cell

Cell lengths 8.4791, 8.4791, 11.6848 Å; angles 131.19, 131.19, 27.78 degrees
Last column: nearest neighbours and their distance in Å.
Atoms (fractional coordinates):
Nd1 0.0000 0.0000 0.0000  4 Ni 2.98, 6 Au 3.23-3.31
Nd2 0.1061 0.1061 0.4070  2 Ni 2.93, 5 Au 3.08-3.19
Nd3 0.1956 0.1956 0.8146  5 Au 3.03-3.15
Nd4 0.8044 0.8044 0.1854  5 Au 3.03-3.15
Nd5 0.8939 0.8939 0.5930  2 Ni 2.93, 5 Au 3.08-3.19
Ni1 0.3685 0.3685 0.7472  3 Au 2.59-2.66
Ni2 0.6315 0.6315 0.2528  3 Au 2.59-2.66
Au1 0.2559 0.2559 0.3249  2 Ni 2.59
Au2 0.4273 0.4273 0.1410  1 Ni 2.66
Au3 0.5000 0.5000 0.5000  2 Au 3.03, 4 Nd 3.31
Au4 0.5727 0.5727 0.8590  1 Ni 2.66
Au5 0.7441 0.7441 0.6751  2 Ni 2.59